(1)
A relaxed structure of Pr2FeSi2Ru, computed with GGA-PBEsol.

Unit cell a=4.1006 b=4.1006 c=6.9344 alpha=90.00 beta=90.00 gamma=90.00
Element x y z (fractional)
Fe1 0.0000 0.0000 0.0000
Ru1 0.5000 0.5000 0.0000
Pr1 0.5000 0.0000 0.3210
Pr2 0.0000 0.5000 0.6790
Si1 0.0000 0.5000 0.1688
Si2 0.5000 0.0000 0.8312

E_form (uncorrected): -65.16 kJ per mole of atoms
DOS(E_F): 5.82 states/eV/f.u.
size of the total moment: 0.005 μB per formula unit
calculated volume: 117 Å³/f.u.

=====

(2)
A relaxed structure of PrFe4Sb12, computed with GGA-PBEsol.

Unit cell a=7.8376 b=7.8376 c=7.8376 alpha=109.47 beta=109.47 gamma=109.47
Element x y z (fractional)
Sb1 0.1711 0.8366 0.3346
Sb2 0.3346 0.4980 0.1634
Sb3 0.8366 0.3346 0.1711
Sb4 0.3346 0.1711 0.8366
Sb5 0.6654 0.5020 0.8366
Sb6 0.4980 0.1634 0.3346
Sb7 0.1634 0.3346 0.4980
Sb8 0.1634 0.6654 0.8289
Sb9 0.6654 0.8289 0.1634
Sb10 0.5020 0.8366 0.6654
Sb11 0.8366 0.6654 0.5020
Sb12 0.8289 0.1634 0.6654
Fe1 0.0000 0.0000 0.5000
Fe2 0.5000 0.5000 0.5000
Fe3 0.5000 0.0000 0.0000
Fe4 0.0000 0.5000 0.0000
Pr1 0.0000 0.0000 0.0000

E_form (uncorrected): -24.86 kJ per mole of atoms
DOS(E_F): 15.39 states/eV/f.u.
size of the total moment: 1.071 μB per formula unit
calculated volume: 371 Å³/f.u.

=====

(3)
A relaxed structure of PrFeSi, computed with GGA-PBEsol.

Unit cell a=4.0192 b=4.0192 c=6.9176 alpha=90.00 beta=90.00 gamma=90.00
Element x y z (fractional)
Fe1 0.0000 0.0000 0.0000
Fe2 0.5000 0.5000 0.0000
Pr1 0.5000 0.0000 0.6829
Pr2 0.0000 0.5000 0.3171
Si1 0.0000 0.5000 0.8392
Si2 0.5000 0.0000 0.1608

E_form (uncorrected): -59.09 kJ per mole of atoms
DOS(E_F): 3.13 states/eV/f.u.
size of the total moment: 0.000 μB per formula unit
calculated volume: 56 Å³/f.u.

=====

(4)
A relaxed structure of TbPrFe4, computed with GGA-PBEsol.

Unit cell a=5.0985 b=5.0985 c=5.0985 alpha=60.00 beta=60.00 gamma=60.00
Element x y z (fractional)
Fe1 0.6254 0.6254 0.6254
Fe2 0.6254 0.1238 0.6254
Fe3 0.6254 0.6254 0.1238
Fe4 0.1238 0.6254 0.6254
Pr1 0.2500 0.2500 0.2500
Tb1 0.0000 0.0000 0.0000

DOS(E_F): 8.02 states/eV/f.u.
size of the total moment: 6.897 μB per formula unit
calculated volume: 94 Å³/f.u.
DFT formation energy: 0.05 eV/atom

=====

(5)
A relaxed structure of PrYFe4, computed with GGA-PBEsol.

Unit cell a=5.0998 b=5.0998 c=5.0998 alpha=60.00 beta=60.00 gamma=60.00
Element x y z (fractional)
Fe1 0.3747 0.8759 0.3747
Fe2 0.3747 0.3747 0.8759
Fe3 0.8759 0.3747 0.3747
Fe4 0.3747 0.3747 0.3747
Pr1 0.7500 0.7500 0.7500
Y1 0.0000 0.0000 0.0000

DOS(E_F): 7.89 states/eV/f.u.
size of the total moment: 6.819 μB per formula unit
calculated volume: 94 Å³/f.u.
DFT formation energy: 0.05 eV/atom

=====

(6)
A relaxed structure of FePt3, computed with GGA-PBEsol.

Unit cell a=2.7185 b=2.7185 c=9.0538 alpha=81.37 beta=81.37 gamma=60.00
Element x y z (fractional)
Pt1 0.2557 0.2557 0.2330
Pt2 0.7443 0.7443 0.7670
Pt3 0.5000 0.5000 0.5000
Fe1 0.0000 0.0000 0.0000

DOS(E_F): 4.04 states/eV/f.u.
size of the total moment: 3.530 μB per formula unit
calculated volume: 57 Å³/f.u.
DFT formation energy: -0.10 eV/atom

=====

(7)
A relaxed structure of Fe5Pt, computed with GGA-PBEsol.

Unit cell a=4.0574 b=4.0564 c=4.8237 alpha=65.14 beta=90.00 gamma=90.00
Element x y z (fractional)
Pt1 0.0000 0.5000 0.0000
Fe1 0.5000 0.6730 0.6539
Fe2 0.0000 0.8279 0.3443
Fe3 0.5000 0.0000 0.0000
Fe4 0.0000 0.1721 0.6557
Fe5 0.5000 0.3270 0.3461

DOS(E_F): 4.01 states/eV/f.u.
size of the total moment: 13.650 μB per formula unit
calculated volume: 72 Å³/f.u.
DFT formation energy: -0.01 eV/atom

=====

(8)
A relaxed structure of Fe2Pt, computed with GGA-PBEsol.

Unit cell a=4.7059 b=4.7059 c=4.7059 alpha=60.00 beta=60.00 gamma=60.00
Element x y z (fractional)
Pt1 0.7500 0.7500 0.7500
Pt2 0.5000 0.5000 0.5000
Fe1 0.1250 0.6250 0.1250
Fe2 0.1250 0.1250 0.1250
Fe3 0.1250 0.1250 0.6250
Fe4 0.6250 0.1250 0.1250

DOS(E_F): 2.22 states/eV/f.u.
size of the total moment: 5.059 μB per formula unit
calculated volume: 37 Å³/f.u.
DFT formation energy: -0.07 eV/atom

=====

(9)
A relaxed structure of Fe8Pt, computed with GGA-PBEsol.

Unit cell a=2.8363 b=6.2324 c=6.2324 alpha=87.03 beta=76.85 gamma=76.85
Element x y z (fractional)
Fe1 0.3269 0.3463 0.0000
Fe2 0.0000 0.6644 0.3356
Fe3 0.6731 0.0000 0.6537
Fe4 0.3356 0.6644 0.6644
Fe5 0.0000 0.3356 0.6644
Fe6 0.6644 0.3356 0.3356
Fe7 0.3269 0.0000 0.3463
Fe8 0.6731 0.6537 0.0000
Pt1 0.0000 0.0000 0.0000

DOS(E_F): 8.54 states/eV/f.u.
size of the total moment: 20.234 μB per formula unit
calculated volume: 104 Å³/f.u.
DFT formation energy: 0.02 eV/atom

=====

(10)
A relaxed structure of FePt3, computed with GGA-PBEsol.

Unit cell a=2.7071 b=2.7071 c=9.0071 alpha=90.00 beta=90.00 gamma=120.00
Element x y z (fractional)
Pt1 0.6667 0.3333 0.7682
Pt2 0.6667 0.3333 0.2318
Pt3 0.0000 0.0000 0.5000
Fe1 0.0000 0.0000 0.0000

DOS(E_F): 2.86 states/eV/f.u.
size of the total moment: 3.554 μB per formula unit
calculated volume: 57 Å³/f.u.
DFT formation energy: -0.09 eV/atom

=====

(11)
A relaxed structure of FePt3, computed with GGA-PBEsol.

Unit cell a=2.7120 b=3.8224 c=5.5066 alpha=90.00 beta=90.00 gamma=90.00
Element x y z (fractional)
Pt1 0.5000 0.5000 0.7593
Pt2 0.5000 0.5000 0.2407
Pt3 0.0000 0.0000 0.5000
Fe1 0.0000 0.0000 0.0000

DOS(E_F): 4.89 states/eV/f.u.
size of the total moment: 3.642 μB per formula unit
calculated volume: 57 Å³/f.u.
DFT formation energy: -0.13 eV/atom

=====

(12)
A relaxed structure of FePt3, computed with GGA-PBEsol.

Unit cell a=2.6801 b=5.0911 c=5.0911 alpha=116.99 beta=100.11 gamma=100.11
Element x y z (fractional)
Pt1 0.5000 0.5000 0.0000
Pt2 0.0000 0.5000 0.5000
Pt3 0.5000 0.0000 0.5000
Fe1 0.0000 0.0000 0.0000

DOS(E_F): 4.06 states/eV/f.u.
size of the total moment: 3.627 μB per formula unit
calculated volume: 58 Å³/f.u.
DFT formation energy: 0.05 eV/atom